[1]
# Cd2InTc

Crystalline Cd2InTc at its relaxed geometry (PBE-GGA, the Alexandria database).

a b c (Å): 10.060 10.060 10.060
angles (deg): 17.58 17.58 17.58
Site moments in Bohr magnetons follow the coordinates.
Sites, in units of the cell vectors:
Cd  0.007  0.007  0.007  0.00
Cd  0.251  0.251  0.251  0.01
In  0.492  0.492  0.492  0.00
Tc  0.751  0.751  0.751  0.92

Computed properties:
The value obtained for the calculated formation energy is 340 meV/atom. Its calculated volume is 20.3 Å³ per atom.

[2]
# Ba2SrSe

Crystalline Ba2SrSe at its relaxed geometry (PBE-GGA, the Alexandria database).

a b c (Å): 4.339 4.864 9.416
angles (deg): 75.04 90.00 90.00
Site moments in Bohr magnetons follow the coordinates.
Sites, in units of the cell vectors:
Ba  0.000  0.924  0.027  0.06
Ba  0.500  0.257  0.361  0.06
Se  0.000  0.732  0.410  0.00
Sr  0.500  0.586  0.703  0.02

Computed properties:
Its calculated volume is 48.0 Å³ per atom. The calculation puts the offset from the most stable computed form at 1.64 kcal/mol of atoms.

[3]
# Ti2HRhAu

Crystalline Ti2HRhAu at its relaxed geometry (PBE-GGA, the Alexandria database).

a b c (Å): 4.870 4.952 4.870
angles (deg): 90.00 90.00 90.00
Site moments in Bohr magnetons follow the coordinates.
Sites, in units of the cell vectors:
Rh  0.000  0.500  0.000  0.48
Au  0.000  0.000  0.000  0.00
H  0.500  0.500  0.500  0.05
Ti  0.000  0.000  0.500  -0.36
Ti  0.500  0.000  0.000  -0.69

Computed properties:
Its calculated volume is 23.5 Å³ per atom. The calculation puts the offset from the most stable computed form at 45.16 kcal/mol of atoms.